1.
VASP calculation (PBE) on BeGaN2F after structural relaxation.

Cell: 3.8313 3.8313 3.8550 Å, 90.00 90.00 90.00°
Sites, in units of the cell vectors:
Be1 0.0000 0.0000 0.0000
Ga1 0.5000 0.5000 0.5000
N1 0.0000 0.5000 0.5000
N2 0.5000 0.0000 0.5000
F1 0.5000 0.5000 0.0000

Output
- Formation energy without anion corrections: 705 meV per atom
- Calculated volume: 11.3 Å³/atom
- D(E_F): 2.53 states/eV/cell
- Distance to the lowest polymorph of the same formula: 506.4 meV per atom
- Space-group type: P4/mmm (123)

***

2.
VASP calculation (PBE) on NaBe2GaF after structural relaxation.

Cell: 4.2325 4.2325 4.9834 Å, 90.00 90.00 90.00°
Sites, in units of the cell vectors:
Na1 0.0000 0.0000 0.0000
Be1 0.0000 0.5000 0.5000
Be2 0.5000 0.0000 0.5000
Ga1 0.5000 0.5000 0.5000
F1 0.5000 0.5000 0.0000

Output
- Formation energy without anion corrections: -138 meV per atom
- Calculated volume: 17.9 Å³/atom
- D(E_F): 1.19 states/eV/cell
- Space-group type: P4/mmm (123)

***

3.
VASP calculation (PBE) on BeGaO2F after structural relaxation.

Cell: 3.8236 3.8236 3.7101 Å, 90.00 90.00 90.00°
Sites, in units of the cell vectors:
Be1 0.0000 0.0000 0.0000
Ga1 0.5000 0.5000 0.5000
O1 0.0000 0.5000 0.5000
O2 0.5000 0.0000 0.5000
F1 0.5000 0.5000 0.0000

Output
- Formation energy without anion corrections: -987 meV per atom
- Calculated volume: 10.8 Å³/atom
- D(E_F): 0.22 states/eV/cell
- Space-group type: P4/mmm (123)

***

4.
VASP calculation (PBE) on BeGaO2F after structural relaxation.

Cell: 4.3635 4.3635 3.4468 Å, 90.00 90.00 90.00°
Sites, in units of the cell vectors:
Be1 0.0000 0.0000 0.0000
Ga1 0.5000 0.5000 0.0000
O1 0.0000 0.5000 0.5000
O2 0.5000 0.0000 0.5000
F1 0.5000 0.5000 0.5000

Output
- Formation energy without anion corrections: 567 meV per atom
- Calculated volume: 13.1 Å³/atom
- D(E_F): 2.33 states/eV/cell
- Space-group type: P4/mmm (123)

***

5.
VASP calculation (PBE) on BeGaO2F after structural relaxation.

Cell: 3.6461 3.6461 3.1865 Å, 90.00 90.00 90.00°
Sites, in units of the cell vectors:
Be1 0.0000 0.0000 0.0000
Ga1 0.5000 0.5000 0.5000
O1 0.0000 0.5000 0.0000
O2 0.5000 0.0000 0.0000
F1 0.0000 0.0000 0.5000

Output
- Formation energy without anion corrections: -1478 meV per atom
- Calculated volume: 8.5 Å³/atom
- D(E_F): 0.44 states/eV/cell
- Space-group type: P4/mmm (123)

***

6.
VASP calculation (PBE) on RbBeGaF6 after structural relaxation.

Cell: 4.9632 4.9632 6.2062 Å, 90.00 90.00 120.00°
Sites, in units of the cell vectors:
Rb1 0.0000 0.0000 0.0000
Be1 0.3333 0.6667 0.5000
Ga1 0.6667 0.3333 0.5000
F1 0.0200 0.3934 0.6665
F2 0.0200 0.6267 0.3335
F3 0.3733 0.3934 0.3335
F4 0.3733 0.9800 0.6665
F5 0.6066 0.6267 0.6665
F6 0.6066 0.9800 0.3335

Output
- Formation energy without anion corrections: -2836 meV per atom
- Calculated volume: 14.7 Å³/atom
- D(E_F): 0.00 states/eV/cell
- Space-group type: P312 (149)

***

7.
VASP calculation (PBE) on RbBe2GaF8 after structural relaxation.

Cell: 4.8823 4.8823 8.1705 Å, 94.53 94.53 64.99°
Sites, in units of the cell vectors:
Rb1 0.0000 0.0000 0.0000
Be1 0.3706 0.3706 0.6980
Be2 0.6294 0.6294 0.3020
Ga1 0.0000 0.0000 0.5000
F1 0.2288 0.2288 0.5536
F2 0.2346 0.7251 0.6666
F3 0.2749 0.7654 0.3334
F4 0.3208 0.3208 0.8687
F5 0.6792 0.6792 0.1313
F6 0.7251 0.2346 0.6666
F7 0.7654 0.2749 0.3334
F8 0.7712 0.7712 0.4464

Output
- Formation energy without anion corrections: -3008 meV per atom
- Calculated volume: 14.6 Å³/atom
- D(E_F): 0.00 states/eV/cell
- Space-group type: C2/m (12)

***

8.
VASP calculation (PBE) on BeGa2SnF after structural relaxation.

Cell: 4.5303 4.5303 4.9528 Å, 90.00 90.00 90.00°
Sites, in units of the cell vectors:
Be1 0.0000 0.0000 0.0000
Ga1 0.0000 0.5000 0.5000
Ga2 0.5000 0.0000 0.5000
Sn1 0.5000 0.5000 0.0000
F1 0.5000 0.5000 0.5000

Output
- Formation energy without anion corrections: 66 meV per atom
- Calculated volume: 20.3 Å³/atom
- D(E_F): 2.52 states/eV/cell
- Space-group type: P4/mmm (123)